PrY5Tm2 | PBE-GGA | optimized geometry

a = 6.776 Å, b = 9.401 Å, c = 9.431 Å
α = 61.56°, β = 88.30°, γ = 87.60°
Positions (direct):
Pr 0.243 0.463 0.050
Pr 0.757 0.537 0.950
Y 0.079 0.815 0.063
Y 0.107 0.068 0.330
Y 0.277 0.181 0.643
Y 0.405 0.806 0.660
Y 0.417 0.131 0.040
Y 0.583 0.869 0.960
Y 0.595 0.194 0.340
Y 0.723 0.819 0.357
Y 0.893 0.932 0.670
Y 0.921 0.185 0.937
Tm 0.085 0.558 0.632
Tm 0.409 0.567 0.325
Tm 0.591 0.433 0.675
Tm 0.915 0.442 0.368

## Properties
**Space-group type**: P-1 (2)
**Energy relative to the elements**: 0.149 eV per atom
**Calculated volume**: 263.9 Å³/f.u.
**Total magnetization**: 0.00 μB per formula unit